Density functional theory data (GGA-PBE) for MnPH2 after structural relaxation.

```
MnPH2
1.0
-1.8105 1.5280 1.5502
-0.7265 -2.3249 1.4432
5.3971 1.3811 4.9420
Mn H P
2 4 2
direct
0.0000 0.0000 0.7107
0.5000 0.5000 0.2107
0.0000 0.5000 0.5959
0.0000 0.5000 0.0959
0.5000 0.0000 0.0959
0.5000 0.0000 0.5959
0.5000 0.5000 0.8762
0.0000 0.0000 0.3762
```

Calculated values
relative energy among the computed polymorphs = 0.027 eV/atom
D(E_F) = 0.230 states/eV per cell
space-group type = No. 107
raw total energy = -5.394 eV/atom

=====

Density functional theory data (GGA-PBE) for ThGaPt4 after structural relaxation.

```
ThGaPt4
1.0
-1.1100 -3.7109 1.8774
2.1454 -2.8499 -4.3648
9.3616 1.5215 3.6080
Ga Pt Th
2 8 2
direct
0.1008 0.7500 0.2016
0.8992 0.2500 0.7984
0.0000 0.0000 0.0000
0.2046 0.4897 0.4093
0.6689 0.7500 0.3378
0.7954 0.9897 0.5907
0.0000 0.5000 0.0000
0.3311 0.2500 0.6622
0.7954 0.5103 0.5907
0.2046 0.0103 0.4093
0.6074 0.2500 0.2148
0.3926 0.7500 0.7852
```

Calculated values
calculated formation energy = -0.746 eV/atom
relative energy among the computed polymorphs = 0.151 eV/atom
D(E_F) = 4.754 states/eV per cell
space-group type = No. 63
raw total energy = -6.514 eV/atom

=====

Density functional theory data (GGA-PBE) for InNi6Ru after structural relaxation.

```
InNi6Ru
1.0
-6.3527 0.2266 0.3721
1.7206 -3.2862 -5.1756
0.0137 -8.7996 5.5918
Ni Ru In
24 4 4
direct
0.7549 0.2451 0.4926
0.3705 0.1154 0.3706
0.5000 0.5000 0.7500
0.5000 0.5000 0.2500
0.8806 0.6355 0.8798
0.1154 0.3705 0.3706
0.0000 0.0000 0.7500
0.2451 0.7549 0.0074
0.6355 0.8806 0.6202
0.6355 0.8806 0.8798
0.8846 0.6295 0.1294
0.3645 0.1194 0.6202
0.8806 0.6355 0.6202
0.8846 0.6295 0.3706
0.6295 0.8846 0.3706
0.1154 0.3705 0.1294
0.7549 0.2451 0.0074
0.1194 0.3645 0.6202
0.6295 0.8846 0.1294
0.3645 0.1194 0.8798
0.0000 0.0000 0.2500
0.2451 0.7549 0.4926
0.1194 0.3645 0.8798
0.3705 0.1154 0.1294
0.0000 0.0000 0.4997
0.0000 0.0000 0.0003
0.7472 0.2528 0.2500
0.2528 0.7472 0.2500
0.7465 0.2535 0.7500
0.5000 0.5000 0.4979
0.5000 0.5000 0.0021
0.2535 0.7465 0.7500
```

Calculated values
calculated formation energy = 0.034 eV/atom
D(E_F) = 37.810 states/eV per cell
space-group type = No. 65
raw total energy = -5.804 eV/atom

=====

Density functional theory data (GGA-PBE) for BaLi2AgAu after structural relaxation.

```
BaLi2AgAu
1.0
4.9375 0.0000 0.0000
0.0000 4.9375 0.0000
0.0000 0.0000 5.4732
Ba Au Ag Li
1 1 1 2
direct
0.5000 0.5000 0.5000
0.0000 0.0000 0.5000
0.0000 0.0000 0.0000
0.5000 0.0000 0.0000
0.0000 0.5000 0.0000
```

Calculated values
calculated formation energy = -0.192 eV/atom
relative energy among the computed polymorphs = 0.025 eV/atom
D(E_F) = 2.718 states/eV per cell
space-group type = No. 123
raw total energy = -2.568 eV/atom

=====

Density functional theory data (GGA-PBE) for LiEr2Fe after structural relaxation.

```
LiEr2Fe
1.0
3.3041 0.0000 0.0000
0.0000 3.3041 0.0000
0.0000 0.0000 8.0960
Li Fe Er
1 1 2
direct
0.5000 0.5000 0.5000
0.5000 0.5000 0.0000
0.0000 0.0000 0.8031
0.0000 0.0000 0.1969
```

Calculated values
calculated formation energy = 0.022 eV/atom
relative energy among the computed polymorphs = 0.000 eV/atom
D(E_F) = 2.779 states/eV per cell
space-group type = No. 123
raw total energy = -4.854 eV/atom

=====

Density functional theory data (GGA-PBE) for GdInPt4 after structural relaxation.

```
GdInPt4
1.0
5.4173 0.0000 0.0000
2.7086 4.6915 0.0000
2.7086 1.5638 4.4232
Pt In Gd
4 1 1
direct
0.6245 0.1264 0.6245
0.1264 0.6245 0.6245
0.6245 0.6245 0.6245
0.6245 0.6245 0.1264
0.2500 0.2500 0.2500
0.0000 0.0000 0.0000
```

Calculated values
calculated formation energy = -0.824 eV/atom
D(E_F) = 2.380 states/eV per cell
space-group type = No. 216
raw total energy = -7.654 eV/atom

=====

Density functional theory data (GGA-PBE) for BaHfHg2Cl after structural relaxation.

```
BaHfHg2Cl
1.0
-1.3639 -3.8974 -3.8687
1.3110 -4.1021 3.6703
-4.6702 -0.0102 1.6568
Ba Hf Cl Hg
1 1 1 2
direct
0.5000 0.5000 0.5000
0.0000 0.0000 0.0000
0.0000 0.0000 0.5000
0.0000 0.5000 0.0000
0.5000 0.0000 0.0000
```

Calculated values
E_form (uncorrected) = -0.43 eV per atom
D(E_F) = 6.038 states/eV per cell
space-group type = No. 123
raw total energy = -3.294 eV/atom

=====

Density functional theory data (GGA-PBE) for Tm2Al2InPd5 after structural relaxation.

```
Tm2Al2InPd5
1.0
-0.6728 -1.4998 -3.3331
5.7929 -7.6969 2.2942
-7.8290 -4.7801 3.7311
Tm Al Pd In
4 4 10 2
direct
0.0000 0.8218 0.6782
0.0000 0.6782 0.1782
0.0000 0.3218 0.8218
0.0000 0.1782 0.3218
0.0000 0.1189 0.6189
0.0000 0.6189 0.8811
0.0000 0.8811 0.3811
0.0000 0.3811 0.1189
0.5000 0.0666 0.7871
0.5000 0.5000 0.0000
0.5000 0.5666 0.7129
0.5000 0.4334 0.2871
0.5000 0.0000 0.5000
0.5000 0.7871 0.9334
0.5000 0.2871 0.5666
0.5000 0.2129 0.0666
0.5000 0.9334 0.2129
0.5000 0.7129 0.4334
0.0000 0.0000 0.0000
0.0000 0.5000 0.5000
```

Calculated values
calculated formation energy = -0.784 eV/atom
D(E_F) = 13.332 states/eV per cell
space-group type = No. 127
raw total energy = -5.297 eV/atom

=====

Density functional theory data (GGA-PBE) for K2AlFe after structural relaxation.

```
K2AlFe
1.0
-1.0216 3.4546 -12.1624
9.2445 -8.1202 -3.0829
2.4937 -4.0418 -7.9722
Fe Al K
2 2 4
direct
0.7500 0.2500 0.5000
0.0000 0.0000 0.0000
0.2500 0.7500 0.5000
0.5000 0.5000 0.0000
0.8750 0.0672 0.7500
0.9328 0.6250 0.2500
0.8172 0.1250 0.2500
0.3750 0.1828 0.7500
```

Calculated values
calculated formation energy = 0.731 eV/atom
D(E_F) = 23.753 states/eV per cell
space-group type = No. 122
raw total energy = -2.869 eV/atom

=====

Density functional theory data (GGA-PBE) for Rb3NaB2S6 after structural relaxation.

```
Rb3NaB2S6
1.0
-1.8425 -2.8651 6.1302
6.7192 -0.0353 -2.0085
1.2687 7.9653 4.1041
S Rb B Na
6 3 2 1
direct
0.8150 0.6300 0.7139
0.6300 0.8150 0.2861
0.1850 0.3700 0.2861
0.8150 0.1850 0.7139
0.1850 0.8150 0.2861
0.3700 0.1850 0.7139
0.3333 0.6667 0.6494
0.0000 0.0000 0.0000
0.6667 0.3333 0.3506
0.6667 0.3333 0.7166
0.3333 0.6667 0.2834
0.0000 0.0000 0.5000
```

Calculated values
E_form (uncorrected) = -0.78 eV per atom
D(E_F) = 2.430 states/eV per cell
space-group type = No. 164
raw total energy = -4.305 eV/atom

=====

Density functional theory data (GGA-PBE) for AcTa2Se6 after structural relaxation.

```
AcTa2Se6
1.0
5.1602 0.0000 0.0000
2.5801 6.1710 -0.3171
2.5801 2.2076 8.0455
Ta Se Ac
2 6 1
direct
0.1902 0.6890 0.9305
0.8098 0.3110 0.0695
0.3382 0.6993 0.6244
0.3066 0.2885 0.0983
0.6934 0.7115 0.9017
0.6618 0.3007 0.3756
0.0220 0.1365 0.8194
0.9780 0.8635 0.1806
0.0000 0.5000 0.5000
```

Calculated values
E_form (uncorrected) = -0.94 eV per atom
D(E_F) = 0.870 states/eV per cell
space-group type = No. 12
raw total energy = -6.349 eV/atom

=====

Density functional theory data (GGA-PBE) for CsIn2Bi after structural relaxation.

```
CsIn2Bi
1.0
-1.2927 1.9620 -3.4102
-1.7459 -3.5028 -1.3535
-7.4635 2.1491 4.0657
Bi In Cs
1 2 1
direct
0.5000 0.5000 0.0000
0.0000 0.0000 0.8158
0.0000 0.0000 0.1842
0.5000 0.5000 0.5000
```

Calculated values
calculated formation energy = -0.121 eV/atom
D(E_F) = 2.271 states/eV per cell
space-group type = No. 123
raw total energy = -2.674 eV/atom

=====

Density functional theory data (GGA-PBE) for CaLaPmZn after structural relaxation.

```
CaLaPmZn
1.0
3.6520 0.0000 0.0000
0.0000 3.6520 0.0000
0.0000 0.0000 9.4254
La Ca Zn Pm
1 1 1 1
direct
0.5000 0.5000 0.8020
0.0000 0.0000 0.1292
0.5000 0.5000 0.3316
0.0000 0.0000 0.5218
```

Calculated values
calculated formation energy = -0.121 eV/atom
relative energy among the computed polymorphs = 0.000 eV/atom
D(E_F) = 4.965 states/eV per cell
space-group type = No. 99
raw total energy = -3.359 eV/atom

=====

Density functional theory data (GGA-PBE) for Ca3P2Cl after structural relaxation.

```
Ca3P2Cl
1.0
5.6919 0.0000 0.8378
2.8459 7.5161 0.4189
0.8383 0.0000 14.2637
P Ca Cl
8 12 4
direct
0.1131 0.2246 0.5777
0.9642 0.3702 0.1845
0.3377 0.7754 0.0777
0.6656 0.3702 0.3155
0.8869 0.7754 0.4223
0.6623 0.2246 0.9223
0.3344 0.6298 0.6845
0.0358 0.6298 0.8155
0.3192 0.8400 0.5073
0.1592 0.1600 0.0073
0.4813 0.4078 0.1232
0.0002 0.9996 0.2500
0.6425 0.7151 0.2500
0.5187 0.5922 0.8768
0.6808 0.1600 0.4927
0.1109 0.4078 0.3768
0.3575 0.2849 0.7500
0.8408 0.8400 0.9927
0.8891 0.5922 0.6232
0.9998 0.0004 0.7500
0.3159 0.0347 0.3492
0.6841 0.9653 0.6508
0.6494 0.0347 0.1508
0.3506 0.9653 0.8492
```

Calculated values
E_form (uncorrected) = -1.28 eV per atom
space-group type = No. 15
raw total energy = -4.392 eV/atom

=====

Density functional theory data (GGA-PBE) for Tb2NdGeN4 after structural relaxation.

```
Tb2NdGeN4
1.0
3.5580 0.0000 0.0000
-1.7790 5.7553 0.0000
0.0000 0.0000 11.6895
Tb Nd N Ge
4 2 8 2
direct
0.6304 0.2609 0.0435
0.6304 0.2609 0.4565
0.3696 0.7391 0.9565
0.3696 0.7391 0.5435
0.9005 0.8010 0.2500
0.0995 0.1990 0.7500
0.4219 0.8438 0.7500
0.7304 0.4609 0.6272
0.5781 0.1562 0.2500
0.2696 0.5391 0.3728
0.2696 0.5391 0.1272
0.0000 0.0000 0.0000
0.0000 0.0000 0.5000
0.7304 0.4609 0.8728
0.8370 0.6740 0.7500
0.1630 0.3260 0.2500
```

Calculated values
E_form (uncorrected) = -1.05 eV per atom
D(E_F) = 1.845 states/eV per cell
space-group type = No. 63
raw total energy = -7.548 eV/atom

=====

Density functional theory data (GGA-PBE) for BiMoSeN2 after structural relaxation.

```
BiMoSeN2
1.0
4.0533 0.0000 0.0000
0.0000 4.0533 0.0000
0.0000 0.0000 5.1914
N Se Mo Bi
2 1 1 1
direct
0.5000 0.0000 0.0000
0.0000 0.5000 0.0000
0.0000 0.0000 0.5000
0.0000 0.0000 0.0000
0.5000 0.5000 0.5000
```

Calculated values
E_form (uncorrected) = 0.48 eV per atom
relative energy among the computed polymorphs = 0.000 eV/atom
D(E_F) = 3.571 states/eV per cell
space-group type = No. 123
raw total energy = -6.489 eV/atom

=====

Density functional theory data (GGA-PBE) for TmTlHg2Cl8 after structural relaxation.

```
TmTlHg2Cl8
1.0
-0.4029 3.9669 5.4108
-6.1689 -2.2828 1.6428
1.1631 -6.3262 6.2641
Cl Tm Hg Tl
8 1 2 1
direct
0.6730 0.7669 0.0210
0.5974 0.7333 0.5127
0.4026 0.2667 0.4873
0.1855 0.8032 0.8165
0.3270 0.2331 0.9790
0.1337 0.7453 0.2427
0.8663 0.2547 0.7573
0.8145 0.1968 0.1835
0.0000 0.0000 0.0000
0.4738 0.4603 0.7355
0.5262 0.5397 0.2645
0.0000 0.0000 0.5000
```

Calculated values
E_form (uncorrected) = -1.20 eV per atom
D(E_F) = 0.000 states/eV per cell
space-group type = No. 2
raw total energy = -3.049 eV/atom

=====

Density functional theory data (GGA-PBE) for LaNiAu3 after structural relaxation.

```
LaNiAu3
1.0
-3.3787 3.4836 -0.0921
-3.4725 -3.3763 -0.3189
-0.2930 -0.1561 4.8425
Ni Au La
1 3 1
direct
0.0000 0.0000 0.0000
0.5000 0.0000 0.0000
0.0000 0.5000 0.0000
0.0000 0.0000 0.5000
0.5000 0.5000 0.5000
```

Calculated values
calculated formation energy = -0.242 eV/atom
relative energy among the computed polymorphs = 0.000 eV/atom
D(E_F) = 4.050 states/eV per cell
space-group type = No. 221
raw total energy = -4.350 eV/atom

=====

Density functional theory data (GGA-PBE) for CaZnSb after structural relaxation.

```
CaZnSb
1.0
4.8159 0.0000 0.0000
2.4079 4.1707 0.0000
2.4079 1.3902 3.9322
Zn Ca Sb
1 1 1
direct
0.2500 0.2500 0.2500
0.0000 0.0000 0.0000
0.5000 0.5000 0.5000
```

Calculated values
E_form (uncorrected) = -0.40 eV per atom
D(E_F) = 2.720 states/eV per cell
space-group type = No. 216
raw total energy = -2.871 eV/atom

=====

Density functional theory data (GGA-PBE) for SiSe after structural relaxation.

```
SiSe
1.0
-3.3986 0.1759 2.2477
-0.1276 -1.5452 -3.7723
2.1678 -10.1127 4.0690
Se Si
4 4
direct
0.6667 0.3333 0.5864
0.3333 0.6667 0.4136
0.6667 0.3333 0.9136
0.3333 0.6667 0.0864
0.6667 0.3333 0.2500
0.3333 0.6667 0.7500
0.0000 0.0000 0.7500
0.0000 0.0000 0.2500
```

Calculated values
E_form (uncorrected) = 0.40 eV per atom
D(E_F) = 6.927 states/eV per cell
space-group type = No. 194
raw total energy = -4.049 eV/atom